The following is a DFT calculation (PBE-GGA) of a geometry-optimized KInAs2 structure.

a b c (Å): 5.706 5.706 5.706
angles (deg): 132.49 132.49 69.45
Fractional coordinates of all 4 atoms:
K1 0.750 0.250 0.500
As1 0.250 0.750 0.500
As2 0.000 0.000 0.000
In1 0.500 0.500 0.000

energy relative to the elements = 0.149 eV per atom
calculated total energy = -3.1343 eV per atom

***

The following is a DFT calculation (PBE-GGA) of a geometry-optimized UNiSb2 structure.

a b c (Å): 4.373 4.373 9.535
angles (deg): 103.26 103.26 90.00
Site moments in Bohr magnetons follow the coordinates.
Fractional coordinates of all 8 atoms:
Sb1 0.500 0.000 0.000  -0.04
Sb2 0.672 0.672 0.344  -0.04
U1 0.131 0.131 0.262  1.87
Ni1 0.750 0.250 0.500  -0.12
Sb3 0.328 0.328 0.656  -0.04
Sb4 0.000 0.500 0.000  -0.04
Ni2 0.250 0.750 0.500  -0.12
U2 0.869 0.869 0.738  1.87

calculated total energy = -6.6438 eV per atom
E_form (uncorrected) = -0.315 eV/atom

***

The following is a DFT calculation (PBE-GGA) of a geometry-optimized Pm6PrDy8 structure.

a b c (Å): 9.128 9.128 8.721
angles (deg): 58.44 58.44 60.00
Fractional coordinates of all 15 atoms:
Pm1 0.230 0.537 0.128
Pm2 0.770 0.463 0.872
Dy1 0.577 0.577 0.270
Dy2 0.718 0.112 0.424
Dy3 0.888 0.254 0.576
Dy4 0.746 0.718 0.424
Dy5 0.282 0.888 0.576
Dy6 0.112 0.746 0.424
Pm3 0.463 0.895 0.872
Pm4 0.105 0.230 0.128
Pm5 0.895 0.770 0.872
Pr1 0.000 0.000 0.000
Pm6 0.537 0.105 0.128
Dy7 0.423 0.423 0.730
Dy8 0.254 0.282 0.576

energy relative to the elements = 0.126 eV per atom
calculated total energy = -4.5475 eV per atom

***

The following is a DFT calculation (PBE-GGA) of a geometry-optimized KMgBe2 structure.

a b c (Å): 4.038 3.223 7.297
angles (deg): 77.06 90.00 90.00
Fractional coordinates of all 4 atoms:
Mg1 0.500 0.752 0.873
Be1 0.000 0.171 0.035
Be2 0.500 0.115 0.141
K1 0.000 0.462 0.451

energy relative to the elements = 0.639 eV per atom
calculated total energy = -1.8970 eV per atom

***

The following is a DFT calculation (PBE-GGA) of a geometry-optimized Li3Pa3MnN8 structure.

a b c (Å): 6.767 6.767 6.311
angles (deg): 122.43 90.00 120.00
Site moments in Bohr magnetons follow the coordinates.
Fractional coordinates of all 15 atoms:
Pa1 0.000 0.500 0.500  -0.01
N1 0.779 0.016 0.295  -0.12
N2 0.779 0.558 0.295  -0.12
Pa2 0.500 0.500 0.500  -0.01
N3 0.742 0.483 0.725  -0.04
N4 0.237 0.016 0.295  -0.12
N5 0.221 0.442 0.705  -0.12
N6 0.763 0.984 0.705  -0.12
Pa3 0.500 0.000 0.500  -0.01
Mn1 0.000 0.000 0.500  2.21
Li1 0.500 0.500 0.000  0.00
N7 0.258 0.517 0.275  -0.04
Li2 0.000 0.000 0.000  0.00
Li3 0.000 0.500 0.000  0.00
N8 0.221 0.984 0.705  -0.12

calculated total energy = -8.1608 eV per atom
E_form (uncorrected) = -0.827 eV/atom

***

The following is a DFT calculation (PBE-GGA) of a geometry-optimized P2WSe structure.

a b c (Å): 4.412 4.412 4.412
angles (deg): 120.16 120.16 89.72
Fractional coordinates of all 4 atoms:
P1 0.250 0.750 0.500
P2 0.000 0.000 0.000
Se1 0.500 0.500 0.000
W1 0.750 0.250 0.500

calculated total energy = -6.2365 eV per atom
E_form (uncorrected) = 0.578 eV/atom